(one)
# LaSbAuI2

An optimized crystal structure of LaSbAuI2 (GGA-PBE, Alexandria via LeMat-Bulk).

Cell: 5.4988 5.4988 5.6866 Å, 90.00 90.00 90.00°
Sites, in units of the cell vectors:
Au 0.0000 0.0000 0.0000
La 0.5000 0.5000 0.5000
I 0.5000 0.0000 0.0000
Sb 0.0000 0.0000 0.5000
I 0.0000 0.5000 0.0000

Output
**D(E_F)**: 3.00 states/eV per cell
**Total magnetization**: 0.2 μB/f.u.



(two)
# LaSbAuI2

An optimized crystal structure of LaSbAuI2 (GGA-PBE, Alexandria via LeMat-Bulk).

Cell: 6.1292 6.1292 6.6577 Å, 90.00 90.00 90.00°
Sites, in units of the cell vectors:
I 0.0000 0.5000 0.0000
Au 0.5000 0.5000 0.5000
Sb 0.0000 0.0000 0.5000
I 0.5000 0.0000 0.0000
La 0.0000 0.0000 0.0000

Output
**D(E_F)**: 1.02 states/eV per cell
**Total magnetization**: 1.1 μB/f.u.



On energetic grounds, (one) is preferred over the next structure by 12.9 kJ/mol of atoms.



(one)
# LaTeAuI2

An optimized crystal structure of LaTeAuI2 (GGA-PBE, Alexandria via LeMat-Bulk).

Cell: 6.1586 6.1586 6.3827 Å, 90.00 90.00 90.00°
Sites, in units of the cell vectors:
Te 0.0000 0.0000 0.5000
I 0.5000 0.0000 0.0000
La 0.0000 0.0000 0.0000
Au 0.5000 0.5000 0.5000
I 0.0000 0.5000 0.0000

Output
**D(E_F)**: 2.74 states/eV per cell
**Total magnetization**: 0.0 μB/f.u.



(two)
# LaTeAuI2

An optimized crystal structure of LaTeAuI2 (GGA-PBE, Alexandria via LeMat-Bulk).

Cell: 5.5911 5.5911 5.6255 Å, 90.00 90.00 90.00°
Sites, in units of the cell vectors:
Te 0.0000 0.0000 0.5000
I 0.0000 0.5000 0.0000
Au 0.0000 0.0000 0.0000
I 0.5000 0.0000 0.0000
La 0.5000 0.5000 0.5000

Output
**D(E_F)**: 6.47 states/eV per cell
**Total magnetization**: 0.3 μB/f.u.



On energetic grounds, (two) is preferred over the next structure by 3.5 kJ/mol of atoms.



(one)
# LaTe2AuI

An optimized crystal structure of LaTe2AuI (GGA-PBE, Alexandria via LeMat-Bulk).

Cell: 5.5512 5.5512 5.4205 Å, 90.00 90.00 90.00°
Sites, in units of the cell vectors:
Au 0.0000 0.0000 0.0000
I 0.0000 0.0000 0.5000
La 0.5000 0.5000 0.5000
Te 0.0000 0.5000 0.0000
Te 0.5000 0.0000 0.0000

Output
**D(E_F)**: 4.20 states/eV per cell
**Total magnetization**: 0.2 μB/f.u.



(two)
# LaTe2AuI

An optimized crystal structure of LaTe2AuI (GGA-PBE, Alexandria via LeMat-Bulk).

Cell: 6.2213 6.2213 6.1255 Å, 90.00 90.00 90.00°
Sites, in units of the cell vectors:
Te 0.0000 0.5000 0.0000
I 0.0000 0.0000 0.5000
Au 0.5000 0.5000 0.5000
La 0.0000 0.0000 0.0000
Te 0.5000 0.0000 0.0000

Output
**D(E_F)**: 8.47 states/eV per cell
**Total magnetization**: 0.3 μB/f.u.



On energetic grounds, (one) is preferred over the next structure by 37.4 kJ/mol of atoms.



(one)
# LiAuI2

An optimized crystal structure of LiAuI2 (GGA-PBE, Alexandria via LeMat-Bulk).

Cell: 4.4920 4.4920 8.6073 Å, 74.87 74.87 60.00°
Sites, in units of the cell vectors:
Au 0.0000 0.0000 0.0000
I 0.8951 0.8951 0.3148
I 0.1049 0.1049 0.6852
Li 0.5000 0.5000 0.5000

Output
**D(E_F)**: 0.00 states/eV per cell
**Total magnetization**: 0.0 μB/f.u.



(two)
# LiAuI2

An optimized crystal structure of LiAuI2 (GGA-PBE, Alexandria via LeMat-Bulk).

Cell: 5.4122 5.4122 5.4122 Å, 60.00 60.00 60.00°
Sites, in units of the cell vectors:
I 0.2500 0.2500 0.2500
I 0.7500 0.7500 0.7500
Li 0.0000 0.0000 0.0000
Au 0.5000 0.5000 0.5000

Output
**D(E_F)**: 0.43 states/eV per cell
**Total magnetization**: 0.0 μB/f.u.



(three)
# LiAuI2

An optimized crystal structure of LiAuI2 (GGA-PBE, Alexandria via LeMat-Bulk).

Cell: 6.4252 6.4252 8.0004 Å, 66.32 66.32 90.00°
Sites, in units of the cell vectors:
Au 0.7500 0.2500 0.5000
I 0.3750 0.3810 0.7500
Li 0.5000 0.5000 0.0000
I 0.6190 0.1250 0.2500
I 0.1310 0.6250 0.2500
Li 0.2500 0.7500 0.5000
I 0.8750 0.8690 0.7500
Au 0.0000 0.0000 0.0000

Output
**D(E_F)**: 0.00 states/eV per cell
**Total magnetization**: 0.0 μB/f.u.



On energetic grounds, (one) is preferred over the next structure by 1.7 kJ/mol of atoms.